Here is a relaxed structure of InReP2 from Alexandria. Energies are from PBE.

Cell: 4.573 3.500 8.593 Å, 90.00 90.00 90.00°
Space group Amm2 (No. 38)
Symmetry-distinct sites (fractional):
In 0.000 0.000 0.000 [2 per cell]
Re 0.500 0.000 0.391 [2 per cell]
P 0.000 0.000 0.282 [2 per cell]
P 0.500 0.000 0.687 [2 per cell]

Properties
V: 68.8 Å³/f.u.
Spin magnetization: 0.0 μB per formula unit
Calculated total energy: -6.2586 eV/atom

=====

Here is a relaxed structure of InReP2 from Alexandria. Energies are from PBE.

Cell: 3.0936 3.0936 26.7608 Å, 90.00 90.00 120.00°
Space group R-3m (No. 166, hexagonal axes)
Symmetry-distinct sites (fractional):
In 0.0000 0.0000 0.0000 [3 per cell]
Re 0.0000 0.0000 0.5000 [3 per cell]
P 0.0000 0.0000 0.2289 [6 per cell]

Properties
V: 73.9 Å³/f.u.
Spin magnetization: 0.0 μB per formula unit
Calculated total energy: -6.5196 eV/atom

=====

Here is a relaxed structure of InRe2P from Alexandria. Energies are from PBE.

Cell: 5.751 8.578 2.967 Å, 90.00 117.67 90.00°
Space group C2/m (No. 12)
Symmetry-distinct sites (fractional):
In 0.000 0.000 0.000 [2 per cell]
Re 0.250 0.250 0.500 [4 per cell]
P 0.000 0.500 0.000 [2 per cell]

Properties
V: 64.8 Å³/f.u.
Spin magnetization: 0.0 μB per formula unit
Calculated total energy: -7.4602 eV/atom

=====

no.,N(E_F) (states/eV/f.u.)
1,1.9
2,1.0
3,2.6